No. 1
A relaxed structure of CaTiVO6. Source: Alexandria via LeMat-Bulk, functional PBE+U.

## Properties
Uncorrected energy: -136.279 eV/cell
Magnetic moment: 1.06 μB/f.u.

Structure (extended XYZ):
```
18
Lattice="5.1026 0.0000 0.0000 -2.5513 4.4190 0.0000 0.0000 0.0000 10.0519" Properties=species:S:1:pos:R:3 pbc="T T T"
Ca 0.0000 0.0000 0.0000
Ca 0.0000 0.0000 5.0260
Ti 0.0000 2.9460 2.5130
Ti 2.5513 1.4730 7.5389
V 0.0000 2.9460 7.5389
V 2.5513 1.4730 2.5130
O -0.9026 1.6565 6.4847
O -1.5681 2.8091 8.5932
O 0.9026 1.6565 8.5932
O -0.6655 4.3724 6.4847
O 1.8859 0.0466 1.4588
O 0.9832 1.6099 3.5672
O 1.5681 2.8091 6.4847
O 0.6654 4.3724 8.5932
O 3.2168 0.0466 3.5672
O 1.6487 2.7625 1.4588
O 4.1194 1.6099 1.4588
O 3.4539 2.7625 3.5672
```

***

No. 2
A relaxed structure of CaTiV2O8. Source: Alexandria via LeMat-Bulk, functional PBE+U.

## Properties
Uncorrected energy: -91.844 eV/cell
Magnetic moment: 0.00 μB/f.u.

Structure (extended XYZ):
```
12
Lattice="-3.4808 3.4808 3.0535 3.4808 -3.4808 3.0535 3.4808 3.4808 -3.0535" Properties=species:S:1:pos:R:3 pbc="T T T"
Ca 0.0000 0.0000 0.0000
Ti 3.4808 0.0000 1.5267
V 0.0000 0.0000 3.0535
V 0.0000 3.4808 1.5267
O 2.0534 3.4808 -1.0098
O 1.4274 0.0000 2.0437
O 0.0000 2.2441 0.3117
O 3.4808 2.0534 1.0098
O 0.0000 4.7174 0.3117
O 0.0000 1.4274 4.0633
O -1.2366 3.4808 2.7418
O 1.2366 3.4808 2.7418
```

***

No. 3
A relaxed structure of CaTi3V5O16. Source: Alexandria via LeMat-Bulk, functional PBE+U.

## Properties
Polymorph energy (0 for the lowest one): 0.06 eV per formula unit
Magnetic moment: 7.00 μB/f.u.

Structure (extended XYZ):
```
25
Lattice="6.0291 0.0000 0.0000 3.0132 5.2738 0.0000 0.1939 0.0591 9.2650" Properties=species:S:1:pos:R:3 pbc="T T T"
Ca 0.0000 0.0000 0.0000
Ti 1.7149 0.8534 6.0338
Ti 5.9603 5.2138 1.7005
Ti 4.6668 1.1173 6.0697
V 3.0423 3.5417 6.0939
V 4.5288 2.5925 1.5824
V 6.1884 3.5636 8.0887
V 8.9844 5.2432 3.6869
V 7.5657 2.6484 1.5462
O 1.4134 0.8565 2.4137
O 3.0881 3.5591 2.4042
O 4.3430 4.6139 4.8827
O 3.0956 1.7222 5.0900
O 3.0225 1.7272 0.6570
O 4.8572 4.2695 0.3833
O 4.6221 2.7147 7.0576
O 6.1077 5.3020 7.0423
O 6.0612 3.5191 2.5703
O 4.5961 0.7828 2.3824
O 5.9298 2.0956 0.3871
O 7.3106 4.0813 0.3702
O 6.0401 1.5272 4.8468
O 7.8088 4.5470 4.8064
O 6.0547 0.1209 7.0665
O 7.5662 2.6219 7.0299
```

***

No. 4
A relaxed structure of CaTi3V5O16. Source: Alexandria via LeMat-Bulk, functional PBE+U.

## Properties
Polymorph energy (0 for the lowest one): 1.37 eV per formula unit
Magnetic moment: 7.00 μB/f.u.

Structure (extended XYZ):
```
25
Lattice="5.9302 0.0000 0.0000 -2.8877 5.3060 0.0000 -0.0999 -0.1382 10.5998" Properties=species:S:1:pos:R:3 pbc="T T T"
Ca 0.0000 0.0000 0.0000
Ti 0.8170 1.6603 7.7224
Ti 1.4656 2.6433 2.6033
Ti 3.5047 3.3393 7.5742
V -0.0191 -0.0372 3.2069
V 0.1431 3.6425 5.4225
V 2.9655 -0.0344 2.7557
V 3.9689 -0.0148 7.6306
V 4.4130 2.5724 2.9353
O -0.0610 0.0432 7.1499
O -1.9612 3.7753 9.1468
O -0.8685 2.6078 6.7191
O -1.3313 4.2695 3.9468
O 0.0611 1.9861 4.0204
O 0.3838 1.7086 9.3528
O 1.3636 0.8483 1.9210
O -0.0198 3.4304 1.8152
O -0.1886 5.1890 6.0919
O 1.5104 3.3776 6.7964
O 2.7952 1.5623 7.9121
O 1.4355 4.2734 3.9474
O 1.1099 4.7852 9.2207
O 3.0051 1.8008 3.7633
O 2.9743 3.5771 1.8999
O 4.5767 0.8302 1.9633
```

***

No. 5
A relaxed structure of CaTi3V5O16. Source: Alexandria via LeMat-Bulk, functional PBE+U.

## Properties
Polymorph energy (0 for the lowest one): 0.00 eV per formula unit
Magnetic moment: 7.00 μB/f.u.

Structure (extended XYZ):
```
25
Lattice="5.9894 0.0000 0.0000 -2.9858 5.2534 0.0000 -0.0758 -0.1344 9.4339" Properties=species:S:1:pos:R:3 pbc="T T T"
Ca 0.0000 0.0000 0.0000
Ti -0.0477 5.0306 7.6358
Ti 4.1824 0.6091 3.2162
Ti 4.3520 2.4661 7.7137
V 1.2226 0.9859 3.2708
V -0.0401 3.4922 1.0459
V 1.4150 2.4509 7.7572
V 3.0101 3.4163 3.0592
V 2.9425 5.1020 5.6517
O -1.8392 4.4852 4.2794
O -0.1181 1.4652 4.3321
O -1.3245 4.0055 8.9243
O -0.0225 1.9362 8.9297
O 1.3693 0.6639 6.9046
O -0.1040 3.3471 6.7336
O -0.1751 5.2130 2.1285
O 1.3735 2.6379 2.1534
O 1.1264 4.0859 8.9396
O 2.8708 1.7243 4.0702
O 2.9296 1.5937 8.6915
O 1.5647 4.4284 4.2870
O 2.8648 3.3562 6.8493
O 4.4660 0.6908 6.8636
O 5.8121 0.0115 2.1740
O 4.3369 2.6998 2.0977
```

***

No. 6
A relaxed structure of CaTiWO6. Source: Alexandria via LeMat-Bulk, functional PBE+U.

## Properties
Uncorrected energy: -141.910 eV/cell
Magnetic moment: 0.00 μB/f.u.

Structure (extended XYZ):
```
18
Lattice="5.1955 0.0000 0.0000 -2.5977 4.4994 0.0000 0.0000 0.0000 10.1304" Properties=species:S:1:pos:R:3 pbc="T T T"
Ca 0.0000 0.0000 0.0000
Ca 0.0000 0.0000 5.0652
Ti 0.0000 2.9996 2.5326
Ti 2.5977 1.4998 7.5978
W 0.0000 2.9996 7.5978
W 2.5977 1.4998 2.5326
O -0.9484 1.6763 6.5210
O -1.6201 2.8399 8.6746
O 0.9484 1.6763 8.6746
O -0.6718 4.4825 6.5210
O 1.9259 0.0169 1.4558
O 0.9776 1.6595 3.6094
O 1.6202 2.8399 6.5210
O 0.6718 4.4825 8.6746
O 3.2695 0.0169 3.6094
O 1.6494 2.8231 1.4558
O 4.2179 1.6595 1.4558
O 3.5461 2.8231 3.6094
```

***

No. 7
A relaxed structure of CaTi2WO8. Source: Alexandria via LeMat-Bulk, functional PBE+U.

## Properties
Uncorrected energy: -97.012 eV/cell
Magnetic moment: 0.00 μB/f.u.

Structure (extended XYZ):
```
12
Lattice="3.6648 -3.2011 0.0000 3.6648 3.2011 0.0000 -0.7902 0.0000 6.5624" Properties=species:S:1:pos:R:3 pbc="T T T"
Ca 0.0000 0.0000 0.0000
Ti 2.6762 0.0000 5.0821
Ti 3.8632 0.0000 1.4804
W -0.3951 0.0000 3.2812
O 3.0808 1.8469 4.6858
O 3.4585 1.8469 1.8766
O 1.5069 0.0000 3.5813
O 1.6138 0.0000 6.5269
O 4.9256 0.0000 0.0355
O 5.0325 0.0000 2.9811
O 3.0808 -1.8469 4.6858
O 3.4585 -1.8469 1.8766
```

***

No. 8
A relaxed structure of CaTiW2O. Source: Alexandria via LeMat-Bulk, functional PBE+U.

## Properties
Uncorrected energy: -27.223 eV/cell
Magnetic moment: 0.00 μB/f.u.

Structure (extended XYZ):
```
5
Lattice="4.3244 0.0000 0.0000 0.0000 4.3244 0.0000 0.0000 0.0000 4.3856" Properties=species:S:1:pos:R:3 pbc="T T T"
Ca 0.0000 0.0000 0.0000
Ti 2.1622 2.1622 0.0000
W 0.0000 2.1622 2.1928
W 2.1622 0.0000 2.1928
O 2.1622 2.1622 2.1928
```